Entry from Alexandria: an optimized crystal structure of Ca2CdBi4 (PBE-GGA).

density of states at the Fermi level = 4.0 states/eV per cell
ΔH_f (0 K) = -0.382 eV per atom
offset from the most stable computed form = 0.039 eV per atom

```
7
Lattice="4.7137 0.0000 0.0000 0.0000 4.7137 0.0000 0.0000 0.0000 9.9406" Properties=species:S:1:pos:R:3 pbc="T T T"
Ca 0.0000 2.3569 2.3490
Ca 2.3569 0.0000 7.5916
Cd 2.3569 2.3569 0.0000
Bi 0.0000 0.0000 4.9703
Bi 0.0000 2.3569 8.0481
Bi 2.3569 0.0000 1.8925
Bi 2.3569 2.3569 4.9703
```

---

Entry from Alexandria: an optimized crystal structure of CaCd2Bi2 (PBE-GGA).

density of states at the Fermi level = 4.6 states/eV per cell
ΔH_f (0 K) = -0.161 eV per atom

```
10
Lattice="5.0374 0.0000 0.0000 0.0000 5.0374 0.0000 0.0000 0.0000 12.4492" Properties=species:S:1:pos:R:3 pbc="T T T"
Ca 0.0000 0.0000 0.0000
Ca 2.5187 2.5187 6.2246
Cd 0.0000 0.0000 4.8863
Cd 0.0000 0.0000 7.5630
Cd 2.5187 2.5187 1.3384
Cd 2.5187 2.5187 11.1109
Bi 0.0000 2.5187 3.1123
Bi 0.0000 2.5187 9.3369
Bi 2.5187 0.0000 3.1123
Bi 2.5187 0.0000 9.3369
```

---

Entry from Alexandria: an optimized crystal structure of Ca21Cd4Bi18 (PBE-GGA).

density of states at the Fermi level = 1.4 states/eV per cell
ΔH_f (0 K) = -0.783 eV per atom

```
86
Lattice="9.0085 -8.5982 0.0000 9.0085 8.5982 0.0000 -0.6724 0.0000 17.6671" Properties=species:S:1:pos:R:3 pbc="T T T"
Ca 6.1831 5.8203 1.1833
Ca 6.6429 6.4197 7.8219
Ca 7.4360 6.4450 15.6148
Ca 4.0491 3.0049 13.1311
Ca 1.1787 0.0000 13.3252
Ca 7.2721 5.6759 11.5499
Ca 9.9086 6.4450 2.0523
Ca 6.1639 2.2832 9.9255
Ca 3.9045 0.0000 7.1834
Ca 10.7017 6.4197 9.8452
Ca 10.0725 5.6759 6.1172
Ca 4.3581 0.0000 1.4065
Ca 7.1867 2.7987 6.2745
Ca 7.3666 2.7086 2.6098
Ca 6.3543 2.0526 16.3551
Ca 11.1615 5.8203 16.4839
Ca 10.1578 2.7987 11.3926
Ca 4.0491 -3.0049 13.1311
Ca 9.9780 2.7086 15.0573
Ca 10.9902 2.0526 1.3120
Ca 6.1639 -2.2832 9.9255
Ca 11.1807 2.2832 7.7416
Ca 6.3543 -2.0526 16.3551
Ca 7.3666 -2.7086 2.6098
Ca 13.2955 3.0049 4.5360
Ca 7.1867 -2.7987 6.2745
Ca 6.1831 -5.8203 1.1833
Ca 10.9902 -2.0526 1.3120
Ca 9.9780 -2.7086 15.0573
Ca 10.1578 -2.7987 11.3926
Ca 12.9865 0.0000 16.2606
Ca 7.2721 -5.6759 11.5499
Ca 6.6429 -6.4197 7.8219
Ca 13.4400 0.0000 10.4837
Ca 11.1807 -2.2832 7.7416
Ca 7.4360 -6.4450 15.6148
Ca 10.0725 -5.6759 6.1172
Ca 16.1658 0.0000 4.3419
Ca 13.2955 -3.0049 4.5360
Ca 9.9086 -6.4450 2.0523
Ca 10.7017 -6.4197 9.8452
Ca 11.1615 -5.8203 16.4839
Cd 3.9773 2.1742 4.4518
Cd 5.6753 0.0000 13.1806
Cd 3.9773 -2.1742 4.4518
Cd 8.4568 0.0000 12.3905
Cd 8.8877 0.0000 5.2766
Cd 13.3673 2.1742 13.2153
Cd 11.6693 0.0000 4.4865
Cd 13.3673 -2.1742 13.2153
Bi 4.1034 3.4433 1.7803
Bi 0.3772 0.0000 7.4356
Bi 4.1037 3.4651 7.2373
Bi 0.7271 0.0000 17.0131
Bi 7.4274 5.4720 4.3291
Bi 1.8295 0.0000 4.2517
Bi 3.8365 0.0000 10.7942
Bi 3.8776 0.0000 15.5391
Bi 9.0085 4.1994 0.0000
Bi 8.6723 4.1716 8.8336
Bi 9.9171 5.4720 13.3380
Bi 7.2527 2.6572 13.1558
Bi 6.0840 0.0000 4.3074
Bi 10.0918 2.6572 4.5113
Bi 7.4597 0.0000 7.8798
Bi 4.1034 -3.4433 1.7803
Bi 4.1037 -3.4651 7.2373
Bi 8.0215 0.0000 1.1952
Bi 9.3231 0.0000 16.4719
Bi 13.2409 3.4651 10.4298
Bi 13.2412 3.4433 15.8868
Bi 9.8849 0.0000 9.7873
Bi 7.2527 -2.6572 13.1558
Bi 11.2606 0.0000 13.3597
Bi 10.0918 -2.6572 4.5113
Bi 7.4274 -5.4720 4.3291
Bi 8.6723 -4.1716 8.8336
Bi 9.0085 -4.1994 0.0000
Bi 13.4670 0.0000 2.1280
Bi 13.5081 0.0000 6.8729
Bi 15.5150 0.0000 13.4154
Bi 9.9171 -5.4720 13.3380
Bi 16.6175 0.0000 0.6540
Bi 13.2409 -3.4651 10.4298
Bi 16.9674 0.0000 10.2315
Bi 13.2412 -3.4433 15.8868
```

---

Entry from Alexandria: an optimized crystal structure of Ca4CdBi3 (PBE-GGA).

density of states at the Fermi level = 5.8 states/eV per cell
ΔH_f (0 K) = -0.652 eV per atom

```
16
Lattice="-6.1971 6.1971 3.2707 6.1971 -6.1971 3.2707 6.1971 6.1971 -3.2707" Properties=species:S:1:pos:R:3 pbc="T T T"
Ca 9.6170 0.9028 0.0000
Ca 0.9028 2.7772 0.0000
Ca 7.0999 3.4199 0.0000
Ca 3.4199 5.2943 0.0000
Ca 2.7772 0.9028 3.2707
Ca -0.9028 2.7772 3.2707
Ca 5.2943 3.4199 3.2707
Ca -3.4199 5.2943 3.2707
Cd 6.1971 0.0000 1.6353
Cd 0.0000 6.1971 1.6353
Bi 4.0860 2.1111 0.0000
Bi 0.0000 0.0000 1.6353
Bi 4.0860 -2.1111 3.2707
Bi 2.1111 8.3082 0.0000
Bi 0.0000 0.0000 4.9060
Bi 2.1111 4.0860 3.2707
```

---

Entry from Alexandria: an optimized crystal structure of CaCdBi2 (PBE-GGA).

density of states at the Fermi level = 4.7 states/eV per cell
ΔH_f (0 K) = -0.234 eV per atom

```
12
Lattice="4.8567 0.0000 0.0000 -2.4284 4.2060 0.0000 0.0000 0.0000 19.3822" Properties=species:S:1:pos:R:3 pbc="T T T"
Ca 0.0000 0.0000 0.0000
Ca 0.0000 2.8040 12.9215
Ca 2.4284 1.4020 6.4607
Cd 0.0000 0.0000 16.0066
Cd 0.0000 2.8040 9.5458
Cd 2.4284 1.4020 3.0851
Bi 0.0000 0.0000 7.9797
Bi 0.0000 0.0000 11.1932
Bi 0.0000 2.8040 1.5190
Bi 0.0000 2.8040 4.7325
Bi 2.4284 1.4020 14.4404
Bi 2.4284 1.4020 17.6540
```

---

Entry from Alexandria: an optimized crystal structure of CaCdBi3 (PBE-GGA).

density of states at the Fermi level = 7.9 states/eV per cell
ΔH_f (0 K) = -0.268 eV per atom
offset from the most stable computed form = 0.000 eV per atom

```
20
Lattice="13.5420 0.0000 0.0000 0.0000 6.6576 0.0000 0.0000 0.0000 6.7135" Properties=species:S:1:pos:R:3 pbc="T T T"
Ca 2.5194 0.0480 1.6784
Ca 2.5194 3.2808 5.0351
Ca 11.0226 3.3768 1.6784
Ca 11.0226 6.6096 5.0351
Cd 5.1007 1.6644 0.0000
Cd 5.1007 1.6644 3.3567
Cd 8.4413 4.9932 0.0000
Cd 8.4413 4.9932 3.3567
Bi 0.0235 1.6644 0.0000
Bi 0.0235 1.6644 3.3567
Bi 3.1323 3.4165 1.6784
Bi 3.1323 6.5699 5.0351
Bi 5.7347 4.5898 5.0351
Bi 5.7347 5.3966 1.6784
Bi 7.8073 1.2610 5.0351
Bi 7.8073 2.0678 1.6784
Bi 10.4097 0.0877 1.6784
Bi 10.4097 3.2411 5.0351
Bi 13.5184 4.9932 0.0000
Bi 13.5184 4.9932 3.3567
```

---

Entry from Alexandria: an optimized crystal structure of Ca2CdBi4 (PBE-GGA).

density of states at the Fermi level = 6.5 states/eV per cell
ΔH_f (0 K) = -0.422 eV per atom
offset from the most stable computed form = 0.000 eV per atom

```
14
Lattice="9.5010 0.0000 0.0000 0.0000 9.8863 0.0000 -4.7176 0.0000 4.7752" Properties=species:S:1:pos:R:3 pbc="T T T"
Ca 0.0000 2.4723 0.0000
Ca 0.0000 7.4140 0.0000
Ca 4.7505 2.4708 0.0000
Ca 4.7505 7.4155 0.0000
Cd 2.3765 0.0000 0.0085
Cd 7.1270 4.9431 0.0085
Bi 7.1419 2.4725 2.3877
Bi 7.1419 7.4137 2.3877
Bi 0.0126 0.0000 2.3878
Bi 0.0189 4.9431 2.3899
Bi 2.3914 2.4706 2.3877
Bi 2.3914 7.4157 2.3877
Bi 4.7631 4.9431 2.3878
Bi 4.7695 0.0000 2.3899
```

---

Entry from Alexandria: an optimized crystal structure of CaCd2Bi2 (PBE-GGA).

density of states at the Fermi level = 5.9 states/eV per cell
ΔH_f (0 K) = -0.152 eV per atom

```
10
Lattice="8.6731 0.0000 0.0000 0.0000 8.6731 0.0000 0.0000 0.0000 3.9753" Properties=species:S:1:pos:R:3 pbc="T T T"
Ca 0.0000 0.0000 0.0000
Ca 4.3365 4.3365 0.0000
Cd 1.2176 3.1189 1.9877
Cd 3.1189 7.4554 1.9877
Cd 5.5542 1.2176 1.9877
Cd 7.4554 5.5542 1.9877
Bi 1.3705 5.7070 0.0000
Bi 2.9660 1.3705 0.0000
Bi 5.7070 7.3025 0.0000
Bi 7.3025 2.9660 0.0000
```

---

Entry from Alexandria: an optimized crystal structure of CaCd2Bi (PBE-GGA).

density of states at the Fermi level = 9.8 states/eV per cell
ΔH_f (0 K) = 0.173 eV per atom

```
12
Lattice="3.4971 0.0000 0.0000 -1.7486 3.0286 0.0000 0.0000 0.0000 35.4012" Properties=species:S:1:pos:R:3 pbc="T T T"
Ca 0.0000 0.0000 0.0000
Ca 0.0000 2.0191 23.6008
Ca 1.7486 1.0095 11.8004
Cd 0.0000 0.0000 3.1610
Cd 0.0000 0.0000 32.2402
Cd 0.0000 2.0191 20.4398
Cd 0.0000 2.0191 26.7618
Cd 1.7486 1.0095 8.6394
Cd 1.7486 1.0095 14.9614
Bi 0.0000 0.0000 17.7006
Bi 0.0000 2.0191 5.9002
Bi 1.7486 1.0095 29.5010
```

---

Entry from Alexandria: an optimized crystal structure of Ca3Cd5Bi12 (PBE-GGA).

density of states at the Fermi level = 24.2 states/eV per cell
ΔH_f (0 K) = -0.018 eV per atom

```
80
Lattice="-9.2205 9.2205 9.2205 9.2205 -9.2205 9.2205 9.2205 9.2205 -9.2205" Properties=species:S:1:pos:R:3 pbc="T T T"
Ca 4.6103 2.3051 0.0000
Ca 9.2205 4.6103 -2.3051
Ca 2.3051 0.0000 4.6103
Ca 11.5257 0.0000 4.6103
Ca 0.0000 4.6103 2.3051
Ca 4.6103 -2.3051 9.2205
Ca 4.6103 11.5257 0.0000
Ca 9.2205 4.6103 6.9154
Ca -2.3051 9.2205 4.6103
Ca 6.9154 9.2205 4.6103
Ca 0.0000 4.6103 11.5257
Ca 4.6103 6.9154 9.2205
Cd 0.0000 0.0000 0.0000
Cd 4.6103 4.6103 -4.6103
Cd 4.6103 -4.6103 4.6103
Cd 9.2205 0.0000 0.0000
Cd 13.8308 2.3051 0.0000
Cd 9.2205 -4.6103 6.9154
Cd 6.9154 9.2205 -4.6103
Cd 6.9154 0.0000 4.6103
Cd 4.6103 6.9154 0.0000
Cd 9.2205 4.6103 2.3051
Cd -4.6103 4.6103 4.6103
Cd 0.0000 9.2205 0.0000
Cd 0.0000 0.0000 9.2205
Cd 4.6103 4.6103 4.6103
Cd 0.0000 4.6103 6.9154
Cd 4.6103 2.3051 9.2205
Cd 2.3051 9.2205 4.6103
Cd 2.3051 0.0000 13.8308
Cd 0.0000 13.8308 2.3051
Cd -4.6103 6.9154 9.2205
Bi 2.8462 -0.0458 1.3856
Bi 10.9846 5.9959 -4.6561
Bi 12.0667 0.0458 1.3856
Bi 10.9846 -3.2247 4.6561
Bi 9.1747 -1.3856 2.8462
Bi 13.8766 -1.7641 3.2247
Bi 1.3856 2.8462 -0.0458
Bi 12.4452 4.5645 -1.7641
Bi 5.9959 4.6561 -1.7641
Bi 7.8349 2.8462 0.0458
Bi -0.0458 1.3856 2.8462
Bi 4.6561 -1.7641 5.9959
Bi 9.1747 7.8349 -2.8462
Bi 4.6561 1.7641 3.2247
Bi 5.9959 -4.6561 10.9846
Bi 7.8349 -2.8462 9.1747
Bi 3.2247 4.6561 1.7641
Bi 10.6061 6.3743 0.0458
Bi 4.6561 10.9846 -3.2247
Bi 9.1747 1.3856 6.3743
Bi 2.8462 9.1747 -1.3856
Bi 10.9846 3.2247 4.5645
Bi 1.7641 3.2247 4.6561
Bi 2.8462 0.0458 7.8349
Bi 6.3743 9.1747 1.3856
Bi 7.4565 5.9959 4.5645
Bi -1.7641 5.9959 4.6561
Bi 6.3743 0.0458 10.6061
Bi 0.0458 7.8349 2.8462
Bi 4.5645 -1.7641 12.4452
Bi -1.3856 2.8462 9.1747
Bi 5.9959 4.5645 7.4565
Bi 1.3856 12.0667 0.0458
Bi 3.2247 13.8766 -1.7641
Bi 4.5645 7.4565 5.9959
Bi 0.0458 1.3856 12.0667
Bi 4.5645 10.9846 3.2247
Bi 9.2663 7.8349 6.3743
Bi 1.3856 6.3743 9.1747
Bi 3.2247 4.5645 10.9846
Bi -3.2247 4.6561 10.9846
Bi 7.8349 6.3743 9.2663
Bi -4.6561 10.9846 5.9959
Bi 0.0458 10.6061 6.3743
Bi -1.7641 12.4452 4.5645
Bi -2.8462 9.1747 7.8349
Bi -1.7641 3.2247 13.8766
Bi 6.3743 9.2663 7.8349
```

---

Entry from Alexandria: an optimized crystal structure of CaCdBi2 (PBE-GGA).

density of states at the Fermi level = 2.0 states/eV per cell
ΔH_f (0 K) = -0.304 eV per atom

```
4
Lattice="4.2721 0.0000 0.0000 0.0000 4.2721 0.0000 0.0000 0.0000 6.5807" Properties=species:S:1:pos:R:3 pbc="T T T"
Ca 0.0000 0.0000 0.0000
Cd 0.0000 0.0000 3.2903
Bi 2.1360 2.1360 1.6110
Bi 2.1360 2.1360 4.9697
```

---

Entry from Alexandria: an optimized crystal structure of CaCd3Bi3 (PBE-GGA).

density of states at the Fermi level = 9.0 states/eV per cell
ΔH_f (0 K) = 0.155 eV per atom
offset from the most stable computed form = 0.352 eV per atom

```
14
Lattice="8.1905 0.0000 0.0000 0.0000 8.1905 0.0000 0.0000 0.0000 8.1905" Properties=species:S:1:pos:R:3 pbc="T T T"
Ca 0.0000 0.0000 0.0000
Ca 4.0952 4.0952 4.0952
Cd 0.0000 2.0476 4.0952
Cd 0.0000 6.1428 4.0952
Cd 2.0476 4.0952 0.0000
Cd 4.0952 0.0000 2.0476
Cd 4.0952 0.0000 6.1428
Cd 6.1428 4.0952 0.0000
Bi 0.0000 4.0952 2.0476
Bi 0.0000 4.0952 6.1428
Bi 2.0476 0.0000 4.0952
Bi 4.0952 2.0476 0.0000
Bi 4.0952 6.1428 0.0000
Bi 6.1428 0.0000 4.0952
```

---

Entry from Alexandria: an optimized crystal structure of CaCd2Bi (PBE-GGA).

density of states at the Fermi level = 15.5 states/eV per cell
ΔH_f (0 K) = -0.165 eV per atom

```
16
Lattice="8.8126 0.0000 0.0000 0.0000 8.8126 0.0000 0.0000 0.0000 6.2365" Properties=species:S:1:pos:R:3 pbc="T T T"
Ca 0.0000 0.0000 0.0000
Ca 0.0000 4.4063 1.5591
Ca 4.4063 0.0000 4.6774
Ca 4.4063 4.4063 3.1182
Cd 1.9820 6.6095 3.8978
Cd 2.2032 1.9820 2.3387
Cd 2.2032 2.4244 5.4569
Cd 2.4244 6.6095 0.7796
Cd 6.3883 2.2032 0.7796
Cd 6.6095 6.3883 5.4569
Cd 6.6095 6.8307 2.3387
Cd 6.8307 2.2032 3.8978
Bi 0.0000 0.0000 3.1182
Bi 0.0000 4.4063 4.6774
Bi 4.4063 0.0000 1.5591
Bi 4.4063 4.4063 0.0000
```

---

Entry from Alexandria: an optimized crystal structure of Ca2Cd2Bi (PBE-GGA).

density of states at the Fermi level = 5.4 states/eV per cell
ΔH_f (0 K) = -0.241 eV per atom
offset from the most stable computed form = 0.121 eV per atom

```
10
Lattice="8.8357 0.0000 0.0000 0.0000 8.8357 0.0000 0.0000 0.0000 3.9534" Properties=species:S:1:pos:R:3 pbc="T T T"
Ca 1.5181 2.8998 0.0000
Ca 2.8998 7.3176 0.0000
Ca 5.9359 1.5181 0.0000
Ca 7.3176 5.9359 0.0000
Cd 1.1028 5.5206 1.9767
Cd 3.3151 1.1028 1.9767
Cd 5.5206 7.7329 1.9767
Cd 7.7329 3.3151 1.9767
Bi 0.0000 0.0000 0.0000
Bi 4.4179 4.4179 0.0000
```

---

Entry from Alexandria: an optimized crystal structure of Ca4Cd5Bi7 (PBE-GGA).

density of states at the Fermi level = 2.7 states/eV per cell
ΔH_f (0 K) = -0.404 eV per atom

```
16
Lattice="-3.2714 3.2714 10.8143 3.2714 -3.2714 10.8143 3.2714 3.2714 -10.8143" Properties=species:S:1:pos:R:3 pbc="T T T"
Ca 1.7025 1.7025 -2.5831
Ca 1.5689 -1.5689 13.3974
Ca 1.5689 1.5689 8.2312
Ca -1.5689 1.5689 13.3974
Cd 0.0000 0.0000 0.0000
Cd 3.2714 0.0000 5.4071
Cd 0.0000 0.0000 5.4557
Cd 0.0000 0.0000 16.1728
Cd 0.0000 3.2714 5.4071
Bi 3.2714 0.0000 0.0000
Bi 1.6960 -1.6960 7.5427
Bi 1.5754 1.5754 3.2716
Bi 0.0000 3.2714 0.0000
Bi 0.0000 0.0000 10.8143
Bi -1.6960 1.6960 7.5427
Bi 1.6960 1.6960 14.0859
```

---

Entry from Alexandria: an optimized crystal structure of CaCd2Bi2 (PBE-GGA).

density of states at the Fermi level = 3.7 states/eV per cell
ΔH_f (0 K) = -0.240 eV per atom

```
10
Lattice="4.4419 0.0000 0.0000 0.0000 4.4419 0.0000 0.0000 0.0000 15.4142" Properties=species:S:1:pos:R:3 pbc="T T T"
Ca 0.0000 0.0000 0.0000
Ca 2.2210 2.2210 7.7071
Cd 0.0000 2.2210 3.8536
Cd 0.0000 2.2210 11.5607
Cd 2.2210 0.0000 3.8536
Cd 2.2210 0.0000 11.5607
Bi 0.0000 0.0000 6.0336
Bi 0.0000 0.0000 9.3806
Bi 2.2210 2.2210 1.6735
Bi 2.2210 2.2210 13.7407
```